Entry from the Alexandria database: crystalline Ca3DySc2Se6 at its relaxed geometry (GGA-PBE).

The structure in POSCAR format:
```
Ca3DySc2Se6
1.0
-6.573 2.233 0.802
1.430 -5.046 -4.618
0.721 -3.706 6.042
Ca Se Dy Sc
3 6 1 2
direct
0.500 0.500 0.500
0.836 0.164 0.500
0.164 0.836 0.500
0.420 0.079 0.237
0.580 0.921 0.763
0.263 0.263 0.764
0.921 0.580 0.763
0.737 0.737 0.236
0.079 0.420 0.237
0.000 0.000 0.000
0.333 0.667 0.000
0.667 0.333 0.000
```

Properties
As for the space group: No. 12. As for the crystal system: monoclinic. The calculated volume comes out at 284.88 Å³ per cell. For the magnetization, the calculation gives 0.00 μB per formula unit. The total energy comes out at -5.49 eV per atom.


Entry from the Alexandria database: crystalline Ca4Dy3ScSe8 at its relaxed geometry (GGA-PBE).

The structure in POSCAR format:
```
Ca4Dy3ScSe8
1.0
8.160 0.000 0.000
0.000 8.271 0.071
-4.080 -4.076 5.773
Se Ca Dy Sc
8 4 3 1
direct
0.756 0.259 0.003
0.244 0.741 0.488
0.246 0.259 0.003
0.754 0.741 0.997
0.749 0.746 0.497
0.244 0.741 0.997
0.251 0.254 0.503
0.756 0.259 0.512
0.000 0.000 0.000
0.000 0.000 0.500
0.500 0.000 0.500
0.500 0.000 0.000
0.500 0.500 0.000
0.000 0.500 0.500
0.500 0.500 0.500
0.000 0.500 0.000
```

Properties
As for the space group: No. 166. As for the crystal system: trigonal. The calculated volume comes out at 392.00 Å³ per cell. For the magnetization, the calculation gives 0.00 μB per formula unit. The total energy comes out at -5.35 eV per atom.


Entry from the Alexandria database: crystalline CaTbDySc at its relaxed geometry (GGA-PBE).

The structure in POSCAR format:
```
CaTbDySc
1.0
5.611 0.000 0.000
2.806 4.860 0.000
2.806 1.620 4.582
Sc Dy Ca Tb
1 1 1 1
direct
0.000 0.000 0.000
0.250 0.250 0.250
0.500 0.500 0.500
0.750 0.750 0.750
```

Properties
As for the space group: No. 216. As for the crystal system: cubic. The value obtained for the formation enthalpy at 0 K is 0.1727 eV/atom. The calculated volume comes out at 124.94 Å³ per cell. For the magnetization, the calculation gives 0.00 μB per formula unit. The total energy comes out at -4.22 eV per atom.


Entry from the Alexandria database: crystalline Ca3DySc3Te8 at its relaxed geometry (GGA-PBE).

The structure in POSCAR format:
```
Ca3DySc3Te8
1.0
8.535 0.000 0.000
-4.267 7.392 -0.027
0.000 -4.903 7.248
Ca Te Sc Dy
3 8 3 1
direct
0.000 0.500 0.000
0.000 0.000 0.000
0.500 0.500 0.000
0.732 0.985 0.739
0.747 0.493 0.261
0.747 0.015 0.261
0.268 0.015 0.261
0.253 0.985 0.739
0.253 0.507 0.739
0.256 0.512 0.269
0.744 0.488 0.731
0.500 0.000 0.500
0.500 0.500 0.500
0.000 0.500 0.500
0.000 0.000 0.500
```

Properties
As for the space group: No. 166. As for the crystal system: trigonal. The calculated volume comes out at 456.19 Å³ per cell. For the magnetization, the calculation gives 0.00 μB per formula unit. The total energy comes out at -5.04 eV per atom.